DFT (GGA-PBEsol) results for an optimized crystal structure of ZnAu3.

Unit cell a=2.936 b=3.481 c=6.318 alpha=90.00 beta=90.00 gamma=90.00
Atoms (fractional coordinates):
Zn 0.500 0.500 0.000
Au 0.000 0.000 0.229
Au 0.500 0.500 0.500
Au 0.000 0.000 0.771

Values from the calculation:
**D(E_F)**: 0.29 states/eV/atom
**ΔH_f (0 K)**: -0.12 eV/atom

DFT (GGA-PBEsol) results for an optimized crystal structure of Ca2Al2P.

Unit cell a=4.784 b=6.843 c=6.843 alpha=90.00 beta=90.00 gamma=90.00
Atoms (fractional coordinates):
Ca 0.500 0.330 0.170
Ca 0.500 0.670 0.830
Ca 0.500 0.170 0.670
Ca 0.500 0.830 0.330
Al 0.000 0.136 0.364
Al 0.000 0.864 0.636
Al 0.000 0.636 0.136
Al 0.000 0.364 0.864
P 0.000 0.000 0.000
P 0.000 0.500 0.500

Values from the calculation:
**D(E_F)**: 0.62 states/eV/atom
**ΔH_f (0 K)**: -0.27 eV/atom

DFT (GGA-PBEsol) results for an optimized crystal structure of Li2CrO4.

Unit cell a=8.635 b=8.635 c=8.635 alpha=107.85 beta=107.85 gamma=107.85
Atoms (fractional coordinates):
O 0.897 0.187 0.233
O 0.136 0.463 0.145
O 0.475 0.809 0.526
O 0.474 0.525 0.191
O 0.537 0.855 0.864
O 0.187 0.233 0.897
O 0.233 0.897 0.187
O 0.103 0.813 0.767
O 0.463 0.145 0.136
O 0.864 0.537 0.855
O 0.191 0.474 0.525
O 0.809 0.526 0.475
O 0.813 0.767 0.103
O 0.256 0.570 0.928
O 0.430 0.072 0.744
O 0.145 0.136 0.463
O 0.526 0.475 0.809
O 0.525 0.191 0.474
O 0.767 0.103 0.813
O 0.744 0.430 0.072
O 0.570 0.928 0.256
O 0.928 0.256 0.570
O 0.072 0.744 0.430
O 0.855 0.864 0.537
Li 0.777 0.377 0.602
Li 0.887 0.296 0.063
Li 0.113 0.704 0.937
Li 0.398 0.223 0.623
Li 0.296 0.063 0.887
Li 0.704 0.937 0.113
Li 0.937 0.113 0.704
Li 0.377 0.602 0.777
Li 0.063 0.887 0.296
Li 0.623 0.398 0.223
Li 0.223 0.623 0.398
Li 0.602 0.777 0.377
Cr 0.264 0.447 0.040
Cr 0.736 0.553 0.960
Cr 0.447 0.040 0.264
Cr 0.960 0.736 0.553
Cr 0.553 0.960 0.736
Cr 0.040 0.264 0.447

Values from the calculation:
**Energy above the lowest structure with this stoichiometry**: 0.000 eV per atom
**D(E_F)**: 0.00 states/eV/atom
**E_form (uncorrected)**: -2.02 eV per atom

DFT (GGA-PBEsol) results for an optimized crystal structure of MgBe2P.

Unit cell a=3.578 b=3.569 c=4.710 alpha=112.26 beta=112.32 gamma=90.00
Atoms (fractional coordinates):
Be 0.750 0.750 0.501
Be 0.250 0.250 0.499
P 0.000 0.500 0.000
Mg 0.500 0.000 0.000

Values from the calculation:
**Energy above the lowest structure with this stoichiometry**: 0.000 eV per atom
**D(E_F)**: 0.28 states/eV/atom
**ΔH_f (0 K)**: 0.31 eV/atom

DFT (GGA-PBEsol) results for an optimized crystal structure of K2InSb.

Unit cell a=4.520 b=5.315 c=6.993 alpha=112.34 beta=90.00 gamma=90.00
Atoms (fractional coordinates):
In 0.500 0.684 0.367
Sb 0.000 0.820 0.640
K 0.000 0.100 0.201
K 0.500 0.395 0.790

Values from the calculation:
**Energy above the lowest structure with this stoichiometry**: 0.000 eV per atom
**D(E_F)**: 0.30 states/eV/atom
**E_form (uncorrected)**: -0.30 eV per atom

DFT (GGA-PBEsol) results for an optimized crystal structure of Tl2FeF2.

Unit cell a=5.133 b=5.133 c=5.133 alpha=101.98 beta=113.34 gamma=113.34
Each line ends with the local moment (μB).
Atoms (fractional coordinates):
Fe 0.000 0.000 0.000  2.69
F 0.000 0.279 0.279  0.06
F 0.000 0.721 0.721  0.06
Tl 0.500 0.750 0.250  -0.05
Tl 0.500 0.250 0.750  -0.05

Values from the calculation:
**D(E_F)**: 0.55 states/eV/atom
**E_form (uncorrected)**: -0.85 eV per atom

DFT (GGA-PBEsol) results for an optimized crystal structure of CuRh2W.

Unit cell a=4.264 b=4.264 c=4.264 alpha=60.00 beta=60.00 gamma=60.00
Atoms (fractional coordinates):
W 0.250 0.250 0.250
Cu 0.500 0.500 0.500
Rh 0.750 0.750 0.750
Rh 0.000 0.000 0.000

Values from the calculation:
**Energy above the lowest structure with this stoichiometry**: 0.427 eV per atom
**D(E_F)**: 1.14 states/eV/atom
**ΔH_f (0 K)**: 0.27 eV/atom

DFT (GGA-PBEsol) results for an optimized crystal structure of K2LaAu.

Unit cell a=5.608 b=5.608 c=5.608 alpha=60.00 beta=60.00 gamma=60.00
Atoms (fractional coordinates):
Au 0.000 0.000 0.000
K 0.250 0.250 0.250
K 0.750 0.750 0.750
La 0.500 0.500 0.500

Values from the calculation:
**Energy above the lowest structure with this stoichiometry**: 0.711 eV per atom
**D(E_F)**: 1.60 states/eV/atom
**ΔH_f (0 K)**: 0.54 eV/atom

DFT (GGA-PBEsol) results for an optimized crystal structure of La2CuPb.

Unit cell a=4.020 b=4.901 c=6.148 alpha=113.49 beta=109.08 gamma=90.00
Atoms (fractional coordinates):
La 0.760 0.260 0.521
La 0.969 0.969 0.938
Pb 0.544 0.544 0.087
Cu 0.227 0.727 0.454

Values from the calculation:
**D(E_F)**: 1.02 states/eV/atom
**ΔH_f (0 K)**: -0.30 eV/atom

DFT (GGA-PBEsol) results for an optimized crystal structure of Sr2NiOsPd.

Unit cell a=4.359 b=5.649 c=5.649 alpha=90.00 beta=90.00 gamma=90.00
Atoms (fractional coordinates):
Sr 0.000 0.500 0.000
Sr 0.000 0.000 0.500
Ni 0.500 0.000 0.000
Os 0.000 0.000 0.000
Pd 0.500 0.500 0.500

Values from the calculation:
**D(E_F)**: 1.10 states/eV/atom
**ΔH_f (0 K)**: 0.80 eV/atom

DFT (GGA-PBEsol) results for an optimized crystal structure of Tl2ZnIr.

Unit cell a=3.271 b=3.952 c=5.773 alpha=90.00 beta=89.99 gamma=90.00
Atoms (fractional coordinates):
Ir 0.500 0.500 0.500
Tl 0.000 0.000 0.747
Tl 0.000 0.000 0.253
Zn 0.500 0.500 0.000

Values from the calculation:
**Energy above the lowest structure with this stoichiometry**: 0.000 eV per atom
**D(E_F)**: 0.35 states/eV/atom
**ΔH_f (0 K)**: 0.42 eV/atom

DFT (GGA-PBEsol) results for an optimized crystal structure of KNb2SiAg.

Unit cell a=4.837 b=4.837 c=4.843 alpha=90.00 beta=90.00 gamma=90.00
Each line ends with the local moment (μB).
Atoms (fractional coordinates):
K 0.500 0.500 0.500  0.01
Nb 0.000 0.500 0.000  0.24
Nb 0.500 0.000 0.000  0.24
Ag 0.000 0.000 0.500  0.01
Si 0.000 0.000 0.000  0.00

Values from the calculation:
**D(E_F)**: 1.34 states/eV/atom
**E_form (uncorrected)**: 1.02 eV per atom

DFT (GGA-PBEsol) results for an optimized crystal structure of Sb3Pd8.

Unit cell a=7.607 b=7.607 c=14.928 alpha=75.24 beta=75.24 gamma=60.00
Atoms (fractional coordinates):
Pd 0.357 0.708 0.947
Pd 0.857 0.487 0.447
Pd 0.143 0.513 0.553
Pd 0.938 0.938 0.187
Pd 0.438 0.438 0.687
Pd 0.292 0.013 0.053
Pd 0.792 0.143 0.553
Pd 0.618 0.878 0.155
Pd 0.622 0.882 0.345
Pd 0.487 0.208 0.447
Pd 0.378 0.118 0.655
Pd 0.382 0.122 0.845
Pd 0.013 0.643 0.053
Pd 0.878 0.349 0.155
Pd 0.562 0.562 0.313
Pd 0.208 0.857 0.447
Pd 0.218 0.218 0.346
Pd 0.062 0.062 0.813
Pd 0.987 0.357 0.947
Pd 0.122 0.651 0.845
Pd 0.651 0.382 0.845
Pd 0.282 0.282 0.154
Pd 0.118 0.849 0.655
Pd 0.782 0.782 0.654
Pd 0.718 0.718 0.846
Pd 0.513 0.792 0.553
Pd 0.151 0.622 0.345
Pd 0.643 0.292 0.053
Pd 0.349 0.618 0.155
Pd 0.882 0.151 0.345
Pd 0.849 0.378 0.655
Pd 0.708 0.987 0.947
Sb 0.000 0.000 0.000
Sb 0.843 0.843 0.470
Sb 0.500 0.500 0.500
Sb 0.250 0.932 0.250
Sb 0.932 0.568 0.250
Sb 0.343 0.343 0.970
Sb 0.157 0.157 0.530
Sb 0.568 0.250 0.250
Sb 0.068 0.432 0.750
Sb 0.750 0.068 0.750
Sb 0.657 0.657 0.030
Sb 0.432 0.750 0.750

Values from the calculation:
**D(E_F)**: 0.35 states/eV/atom
**E_form (uncorrected)**: -0.47 eV per atom

DFT (GGA-PBEsol) results for an optimized crystal structure of SiRuBr.

Unit cell a=4.186 b=4.186 c=4.186 alpha=60.00 beta=60.00 gamma=60.00
Atoms (fractional coordinates):
Ru 0.250 0.250 0.250
Si 0.000 0.000 0.000
Br 0.500 0.500 0.500

Values from the calculation:
**Energy above the lowest structure with this stoichiometry**: 0.185 eV per atom
**D(E_F)**: 0.56 states/eV/atom
**E_form (uncorrected)**: 0.32 eV per atom

DFT (GGA-PBEsol) results for an optimized crystal structure of NbPd3.

Unit cell a=4.536 b=4.837 c=5.471 alpha=90.00 beta=90.00 gamma=90.00
Atoms (fractional coordinates):
Pd 0.500 0.164 0.750
Pd 0.500 0.661 0.500
Pd 0.500 0.164 0.250
Pd 0.000 0.339 0.000
Pd 0.000 0.836 0.750
Pd 0.000 0.836 0.250
Nb 0.500 0.657 0.000
Nb 0.000 0.343 0.500

Values from the calculation:
**D(E_F)**: 0.59 states/eV/atom
**ΔH_f (0 K)**: -0.45 eV/atom

DFT (GGA-PBEsol) results for an optimized crystal structure of BeSi2Ir.

Unit cell a=3.657 b=3.657 c=4.439 alpha=114.32 beta=114.32 gamma=90.00
Atoms (fractional coordinates):
Si 0.750 0.250 0.500
Si 0.000 0.000 0.000
Be 0.500 0.500 0.000
Ir 0.250 0.750 0.500

Values from the calculation:
**D(E_F)**: 0.64 states/eV/atom
**E_form (uncorrected)**: -0.09 eV per atom

DFT (GGA-PBEsol) results for an optimized crystal structure of MnTlOs2.

Unit cell a=3.978 b=3.978 c=3.851 alpha=90.00 beta=90.00 gamma=90.00
Each line ends with the local moment (μB).
Atoms (fractional coordinates):
Os 0.000 0.500 0.000  0.12
Os 0.500 0.000 0.000  0.12
Tl 0.500 0.500 0.500  -0.01
Mn 0.000 0.000 0.500  3.10

Values from the calculation:
**Energy above the lowest structure with this stoichiometry**: 0.214 eV per atom
**D(E_F)**: 1.13 states/eV/atom
**ΔH_f (0 K)**: 0.82 eV/atom

DFT (GGA-PBEsol) results for an optimized crystal structure of Ba3SrCa2Mo2O12.

Unit cell a=5.886 b=5.886 c=8.322 alpha=90.00 beta=90.00 gamma=90.00
Atoms (fractional coordinates):
Mo 0.500 0.000 0.746
Mo 0.000 0.500 0.254
O 0.000 0.500 0.022
O 0.729 0.769 0.746
O 0.231 0.271 0.254
O 0.271 0.769 0.746
O 0.729 0.231 0.746
O 0.000 0.500 0.482
O 0.231 0.729 0.254
O 0.271 0.231 0.746
O 0.769 0.729 0.254
O 0.500 0.000 0.518
O 0.769 0.271 0.254
O 0.500 0.000 0.978
Ca 0.000 0.500 0.751
Ca 0.500 0.000 0.249
Ba 0.000 0.000 0.000
Ba 0.500 0.500 0.000
Ba 0.000 0.000 0.500
Sr 0.500 0.500 0.500

Values from the calculation:
**D(E_F)**: 0.00 states/eV/atom
**E_form (uncorrected)**: -2.71 eV per atom

DFT (GGA-PBEsol) results for an optimized crystal structure of CaMnSi2O6.

Unit cell a=5.279 b=6.729 c=6.729 alpha=84.67 beta=78.92 gamma=78.92
Each line ends with the local moment (μB).
Atoms (fractional coordinates):
Si 0.237 0.806 0.620  0.01
Si 0.763 0.194 0.380  0.01
Si 0.737 0.620 0.806  0.01
Si 0.263 0.380 0.194  0.01
O 0.848 0.026 0.212  0.06
O 0.152 0.974 0.788  0.06
O 0.830 0.390 0.883  0.04
O 0.003 0.330 0.370  0.01
O 0.670 0.117 0.610  0.04
O 0.330 0.883 0.390  0.04
O 0.170 0.610 0.117  0.04
O 0.497 0.630 0.670  0.01
O 0.503 0.370 0.330  0.01
O 0.997 0.670 0.630  0.01
O 0.348 0.212 0.026  0.06
O 0.652 0.788 0.974  0.06
Ca 0.250 0.301 0.699  0.00
Ca 0.750 0.699 0.301  0.00
Mn 0.750 0.095 0.905  4.47
Mn 0.250 0.905 0.095  4.47

Values from the calculation:
**D(E_F)**: 0.00 states/eV/atom
**E_form (uncorrected)**: -2.61 eV per atom

DFT (GGA-PBEsol) results for an optimized crystal structure of FeCo.

Unit cell a=2.421 b=4.623 c=6.066 alpha=77.95 beta=82.39 gamma=79.92
Each line ends with the local moment (μB).
Atoms (fractional coordinates):
Fe 0.166 0.167 0.332  2.52
Fe 0.668 0.667 0.333  2.52
Fe 0.333 0.333 0.669  2.56
Co 0.489 0.500 0.000  1.75
Co 0.011 0.000 0.000  1.76
Co 0.833 0.834 0.666  1.74

Values from the calculation:
**D(E_F)**: 0.91 states/eV/atom
**ΔH_f (0 K)**: 0.04 eV/atom

DFT (GGA-PBEsol) results for an optimized crystal structure of Nb3IrS8.

Unit cell a=6.565 b=6.565 c=6.799 alpha=104.20 beta=103.77 gamma=119.96
Atoms (fractional coordinates):
S 0.968 0.807 0.260
S 0.464 0.799 0.262
S 0.453 0.293 0.260
S 0.536 0.201 0.738
S 0.969 0.293 0.262
S 0.031 0.707 0.738
S 0.547 0.707 0.740
S 0.032 0.193 0.740
Nb 0.500 0.000 0.000
Nb 0.000 0.500 0.000
Nb 0.500 0.500 0.000
Ir 0.000 0.000 0.000

Values from the calculation:
**Energy above the lowest structure with this stoichiometry**: 0.056 eV per atom
**D(E_F)**: 0.26 states/eV/atom
**E_form (uncorrected)**: -0.84 eV per atom

DFT (GGA-PBEsol) results for an optimized crystal structure of BeRe2P.

Unit cell a=2.775 b=2.775 c=7.525 alpha=90.00 beta=90.00 gamma=116.70
Atoms (fractional coordinates):
P 0.500 0.500 0.000
Re 0.000 0.000 0.756
Re 0.000 0.000 0.244
Be 0.500 0.500 0.500

Values from the calculation:
**Energy above the lowest structure with this stoichiometry**: 0.619 eV per atom
**D(E_F)**: 0.51 states/eV/atom
**ΔH_f (0 K)**: 0.31 eV/atom